! Nd3TiSb5, relaxed, DFT PBE; values from VASP
! - Uncorrected energy: -101.89 eV/cell
! - DOS at the Fermi energy: 5.364 states/eV per cell
&SYSTEM
  ibrav = 0, nat = 18, ntyp = 3
/
ATOMIC_SPECIES
Nd 144.24 Nd.upf
Ti 47.87 Ti.upf
Sb 121.76 Sb.upf
CELL_PARAMETERS angstrom
9.507 0.000 0.000
-4.754 8.233 0.000
0.000 0.000 6.209
ATOMIC_POSITIONS crystal
Nd 0.000 0.381 0.250
Nd 0.000 0.619 0.750
Nd 0.381 0.000 0.250
Nd 0.381 0.381 0.750
Nd 0.619 0.000 0.750
Nd 0.619 0.619 0.250
Ti 0.000 0.000 0.000
Ti 0.000 0.000 0.500
Sb 0.000 0.254 0.750
Sb 0.000 0.746 0.250
Sb 0.254 0.000 0.750
Sb 0.254 0.254 0.250
Sb 0.333 0.667 0.000
Sb 0.333 0.667 0.500
Sb 0.667 0.333 0.000
Sb 0.667 0.333 0.500
Sb 0.746 0.000 0.250
Sb 0.746 0.746 0.750

! NdTiSb2, relaxed, DFT PBE; values from VASP
! - Energy above the most stable polymorph in this dataset: 0 meV per atom
! - DOS at the Fermi energy: 6.154 states/eV per cell
&SYSTEM
  ibrav = 0, nat = 8, ntyp = 3
/
ATOMIC_SPECIES
Nd 144.24 Nd.upf
Ti 47.87 Ti.upf
Sb 121.76 Sb.upf
CELL_PARAMETERS angstrom
4.238 0.000 0.000
0.000 4.238 0.000
0.000 0.000 12.702
ATOMIC_POSITIONS crystal
Nd 0.000 0.000 0.000
Nd 0.500 0.500 0.500
Ti 0.000 0.500 0.750
Ti 0.500 0.000 0.250
Sb 0.000 0.000 0.378
Sb 0.000 0.000 0.622
Sb 0.500 0.500 0.122
Sb 0.500 0.500 0.878

! NdTiSb3, relaxed, DFT PBE; values from VASP
! - Uncorrected energy: -114.38 eV/cell
! - DOS at the Fermi energy: 11.341 states/eV per cell
&SYSTEM
  ibrav = 0, nat = 20, ntyp = 3
/
ATOMIC_SPECIES
Nd 144.24 Nd.upf
Ti 47.87 Ti.upf
Sb 121.76 Sb.upf
CELL_PARAMETERS angstrom
13.310 0.000 0.000
0.000 6.331 0.000
0.000 0.000 6.203
ATOMIC_POSITIONS crystal
Nd 0.185 0.007 0.250
Nd 0.185 0.493 0.750
Nd 0.815 0.507 0.250
Nd 0.815 0.993 0.750
Ti 0.410 0.750 0.000
Ti 0.410 0.750 0.500
Ti 0.590 0.250 0.000
Ti 0.590 0.250 0.500
Sb 0.002 0.750 0.000
Sb 0.002 0.750 0.500
Sb 0.275 0.505 0.250
Sb 0.275 0.995 0.750
Sb 0.428 0.110 0.250
Sb 0.428 0.390 0.750
Sb 0.572 0.610 0.250
Sb 0.572 0.890 0.750
Sb 0.725 0.005 0.250
Sb 0.725 0.495 0.750
Sb 0.998 0.250 0.000
Sb 0.998 0.250 0.500

! NdTiSb, relaxed, DFT PBE; values from VASP
! - Uncorrected energy: -37.91 eV/cell
! - DOS at the Fermi energy: 6.669 states/eV per cell
&SYSTEM
  ibrav = 0, nat = 6, ntyp = 3
/
ATOMIC_SPECIES
Nd 144.24 Nd.upf
Ti 47.87 Ti.upf
Sb 121.76 Sb.upf
CELL_PARAMETERS angstrom
4.294 0.000 0.000
0.000 4.294 0.000
0.000 0.000 8.151
ATOMIC_POSITIONS crystal
Nd 0.250 0.250 0.151
Nd 0.750 0.750 0.849
Ti 0.250 0.750 0.500
Ti 0.750 0.250 0.500
Sb 0.250 0.250 0.737
Sb 0.750 0.750 0.263